# 1
Below is crystalline Pr3Dy3Ho2 at its relaxed geometry, with properties calculated at the PBE-GGA level.

Calculated values
**Uncorrected energy**: -36.630 eV/cell

Unit cell a=5.756 b=6.037 c=8.803 alpha=111.00 beta=109.08 gamma=90.00
Fractional coordinates of all 8 atoms:
1 Pr 0.136 0.574 0.271
2 Pr 0.864 0.426 0.729
3 Pr 0.000 0.000 0.000
4 Dy 0.633 0.185 0.266
5 Dy 0.500 0.500 0.000
6 Dy 0.367 0.815 0.734
7 Ho 0.250 0.182 0.500
8 Ho 0.750 0.818 0.500

=====

# 2
Below is crystalline Pr5Dy2Ho2 at its relaxed geometry, with properties calculated at the PBE-GGA level.

Calculated values
**Uncorrected energy**: -81.451 eV/cell
**E above lowest polymorph**: 150 meV/atom

Unit cell a=12.965 b=6.264 c=10.484 alpha=107.38 beta=128.19 gamma=90.00
Fractional coordinates of all 18 atoms:
1 Pr 0.252 0.746 0.902
2 Pr 0.748 0.845 0.098
3 Pr 0.150 0.246 0.902
4 Pr 0.850 0.345 0.098
5 Pr 0.328 0.095 0.288
6 Pr 0.672 0.808 0.712
7 Pr 0.460 0.595 0.288
8 Pr 0.540 0.308 0.712
9 Pr 0.075 0.793 0.500
10 Pr 0.925 0.293 0.500
11 Dy 0.000 0.884 0.000
12 Dy 0.500 0.384 0.000
13 Dy 0.193 0.269 0.500
14 Dy 0.807 0.769 0.500
15 Ho 0.186 0.583 0.271
16 Ho 0.814 0.312 0.729
17 Ho 0.585 0.083 0.271
18 Ho 0.415 0.812 0.729

=====

| no. | density (kg/m³) | formation energy (kJ per mole of atoms) |
| --- | --- | --- |
| 1 | 7698 | 8.1 |
| 2 | 7294 | 16.4 |